Entry 1
Here is a relaxed CsIr crystal from Alexandria. Energies are from GGA-PBE.

The size of the total moment comes out at 0.0 μB/f.u. The calculation puts the density of states at the Fermi level at 0.527 states/eV/atom. Its space-group type is Pmmn.

```
12
Lattice="4.4035 0.0000 0.0000 0.0000 10.3827 0.0000 0.0000 0.0000 11.3212" Properties=species:S:1:pos:R:3 pbc="T T T"
Ir 0.0000 4.3743 5.6606
Ir 0.0000 4.9776 7.9739
Ir 2.2018 6.0084 0.0000
Ir 2.2018 5.4051 2.3133
Ir 2.2018 5.4051 9.0079
Ir 0.0000 4.9776 3.3473
Cs 0.0000 8.1658 1.9111
Cs 0.0000 8.1658 9.4101
Cs 2.2018 2.2169 7.5717
Cs 2.2018 6.9720 5.6606
Cs 2.2018 2.2169 3.7495
Cs 0.0000 3.4107 0.0000
```



Entry 2
Here is a relaxed CsIr crystal from Alexandria. Energies are from GGA-PBE.

The size of the total moment comes out at 0.0 μB/f.u. The calculation puts the density of states at the Fermi level at 2.276 states/eV/atom. Its space-group type is F-43m.

```
8
Lattice="-3.8565 5.2616 0.8974 -4.7436 -3.8861 2.3996 2.4470 0.7588 6.0662" Properties=species:S:1:pos:R:3 pbc="T T T"
Ir -4.3001 0.6877 1.6485
Ir -0.7047 3.0102 3.4818
Ir -1.1483 -1.5636 4.2329
Ir 0.0000 0.0000 0.0000
Cs -2.6866 -1.0301 6.5737
Cs -5.8383 1.2213 3.9894
Cs -1.5383 0.5336 2.3408
Cs -2.2430 3.5438 5.8226
```



Order from most stable to least stable according to the calculation: entry 1, entry 2



Entry 1
Here is a relaxed Cs2KIr crystal from Alexandria. Energies are from GGA-PBE.

The size of the total moment comes out at 0.0 μB/f.u. The calculation puts the density of states at the Fermi level at 0.589 states/eV/atom. Its space-group type is I-42d.

```
8
Lattice="-2.0587 7.1205 5.6043 4.0432 -4.4215 7.1029 6.7609 4.2036 4.8465" Properties=species:S:1:pos:R:3 pbc="T T T"
K 0.9923 1.3495 6.3536
K 5.8982 0.5658 9.1515
Cs 2.4112 4.5340 10.5674
Cs 0.3989 6.7126 6.9906
Cs 3.7656 8.8404 9.4105
Cs 4.8132 5.2602 6.6404
Ir 2.8472 6.3368 8.4022
Ir 0.0000 0.0000 0.0000
```



Entry 2
Here is a relaxed Cs2KIr crystal from Alexandria. Energies are from GGA-PBE.

The size of the total moment comes out at 0.0 μB/f.u. The calculation puts the density of states at the Fermi level at 0.000 states/eV/atom. Its space-group type is Fm-3m.

```
4
Lattice="0.0000 4.1579 4.1579 4.1579 0.0000 4.1579 4.1579 4.1579 0.0000" Properties=species:S:1:pos:R:3 pbc="T T T"
Ir 4.1579 4.1579 4.1579
Cs 6.2368 6.2368 6.2368
Cs 2.0789 2.0789 2.0789
K 0.0000 0.0000 0.0000
```



Order from most stable to least stable according to the calculation: entry 2, entry 1



Entry 1
Here is a relaxed CsLa2Ir crystal from Alexandria. Energies are from GGA-PBE.

The size of the total moment comes out at 0.0 μB/f.u. The calculation puts the density of states at the Fermi level at 0.055 states/eV/atom. Its space-group type is I-42d.

```
8
Lattice="8.7489 0.0000 0.0000 0.0000 8.7489 0.0000 4.3744 4.3744 6.1856" Properties=species:S:1:pos:R:3 pbc="T T T"
La 10.9361 4.3638 4.6392
La 8.7382 2.1872 1.5464
La 8.7595 6.5617 1.5464
La 6.5617 4.3851 4.6392
Ir 0.0000 0.0000 0.0000
Ir 8.7489 4.3744 3.0928
Cs 4.3744 4.3744 0.0000
Cs 4.3744 8.7489 3.0928
```



Entry 2
Here is a relaxed CsLa2Ir crystal from Alexandria. Energies are from GGA-PBE.

The size of the total moment comes out at 0.0 μB/f.u. The calculation puts the density of states at the Fermi level at 1.399 states/eV/atom. Its space-group type is Fm-3m.

```
4
Lattice="0.0000 3.8520 3.8520 3.8520 0.0000 3.8520 3.8520 3.8520 0.0000" Properties=species:S:1:pos:R:3 pbc="T T T"
Cs 0.0000 0.0000 0.0000
La 1.9260 1.9260 1.9260
La 5.7780 5.7780 5.7780
Ir 3.8520 3.8520 3.8520
```



Order from most stable to least stable according to the calculation: entry 1, entry 2



Entry 1
Here is a relaxed Cs2LiIr crystal from Alexandria. Energies are from GGA-PBE.

The size of the total moment comes out at 0.0 μB/f.u. The calculation puts the density of states at the Fermi level at 1.045 states/eV/atom. Its space-group type is Fd-3m.

```
8
Lattice="0.0000 6.5143 6.5143 6.5143 0.0000 6.5143 6.5143 6.5143 0.0000" Properties=species:S:1:pos:R:3 pbc="T T T"
Ir 6.5143 6.5143 6.5143
Ir 9.7715 9.7715 9.7715
Li 3.2572 3.2572 3.2572
Li 0.0000 0.0000 0.0000
Cs 8.1429 8.1429 8.1429
Cs 8.1429 4.8857 4.8857
Cs 4.8857 8.1429 4.8857
Cs 4.8857 4.8857 8.1429
```



Entry 2
Here is a relaxed Cs2LiIr crystal from Alexandria. Energies are from GGA-PBE.

The size of the total moment comes out at 0.0 μB/f.u. The calculation puts the density of states at the Fermi level at 0.002 states/eV/atom. Its space-group type is Fm-3m.

```
4
Lattice="-2.7897 -0.8418 4.8950 -4.1039 3.6137 1.5974 -5.4480 -1.6632 -0.0760" Properties=species:S:1:pos:R:3 pbc="T T T"
Cs -9.2562 0.8316 4.8123
Cs -3.0854 0.2772 1.6041
Li 0.0000 0.0000 0.0000
Ir -6.1708 0.5544 3.2082
```



Order from most stable to least stable according to the calculation: entry 2, entry 1



Entry 1
Here is a relaxed CsLi3Ir crystal from Alexandria. Energies are from GGA-PBE.

The size of the total moment comes out at 0.0 μB/f.u. The calculation puts the density of states at the Fermi level at 0.542 states/eV/atom. Its space-group type is Pm-3m.

```
5
Lattice="-1.9610 4.6175 0.1742 -3.0819 -1.4480 3.6882 3.4429 1.3338 3.4006" Properties=species:S:1:pos:R:3 pbc="T T T"
Cs -0.7999 2.2517 3.6315
Li -0.9805 2.3088 0.0871
Li 1.7215 0.6669 1.7003
Li -1.5409 -0.7240 1.8441
Ir 0.0000 0.0000 0.0000
```



Entry 2
Here is a relaxed CsLi3Ir crystal from Alexandria. Energies are from GGA-PBE.

The size of the total moment comes out at 0.0 μB/f.u. The calculation puts the density of states at the Fermi level at 0.642 states/eV/atom. Its space-group type is Pm-3m.

```
5
Lattice="-0.5845 0.7133 -4.7119 -4.3195 -2.0846 0.2203 -2.0131 4.2659 0.8955" Properties=species:S:1:pos:R:3 pbc="T T T"
Li -0.2923 0.3567 -2.3559
Li -2.1598 -1.0423 0.1101
Li -1.0066 2.1329 0.4478
Ir -3.4586 1.4473 -1.7980
Cs 0.0000 0.0000 0.0000
```



Order from most stable to least stable according to the calculation: entry 1, entry 2



Entry 1
Here is a relaxed CsMgIr3 crystal from Alexandria. Energies are from GGA-PBE.

The size of the total moment comes out at 0.0 μB/f.u. The calculation puts the density of states at the Fermi level at 1.226 states/eV/atom. Its space-group type is Pm-3m.

```
5
Lattice="4.8452 0.0000 0.0000 0.0000 4.8452 0.0000 0.0000 0.0000 4.8452" Properties=species:S:1:pos:R:3 pbc="T T T"
Ir 0.0000 2.4226 0.0000
Ir 2.4226 0.0000 0.0000
Ir 0.0000 0.0000 2.4226
Mg 0.0000 0.0000 0.0000
Cs 2.4226 2.4226 2.4226
```



Entry 2
Here is a relaxed CsMgIr3 crystal from Alexandria. Energies are from GGA-PBE.

The size of the total moment comes out at 0.8 μB/f.u. The calculation puts the density of states at the Fermi level at 1.120 states/eV/atom. Its space-group type is Pm-3m.

```
5
Lattice="-3.9985 -1.6374 -2.5260 -2.0422 -1.6099 4.2763 -2.2115 4.4471 0.6180" Properties=species:S:1:pos:R:3 pbc="T T T"
Ir -1.1058 2.2236 0.3090
Ir -1.9992 -0.8187 -1.2630
Ir -1.0211 -0.8049 2.1382
Mg -4.1261 0.5999 1.1842
Cs 0.0000 0.0000 0.0000
```



Order from most stable to least stable according to the calculation: entry 1, entry 2